1.
Computed, not measured: a relaxed structure of BeSe at the GGA-PBEsol level of DFT.

Summary:
The value obtained for the relative energy among the computed polymorphs is 0.236 eV/f.u. Its total magnetization is 0.0 μB/f.u. Its density of states at the Fermi level is 0.00 states/eV per cell. The value obtained for the volume is 19.03 A^3/atom. The total energy is -9.2 eV per formula unit. For the uncorrected formation energy, the calculation gives -1.361 eV/f.u.

a b c (Å): 3.6052 3.6052 5.8552
angles (deg): 90.00 90.00 90.00
Sites, in units of the cell vectors:
1 Be 0.2500 0.7500 0.0000
2 Be 0.7500 0.2500 0.0000
3 Se 0.2500 0.2500 0.2308
4 Se 0.7500 0.7500 0.7692



2.
Computed, not measured: a relaxed structure of BeSe at the GGA-PBEsol level of DFT.

Summary:
The value obtained for the relative energy among the computed polymorphs is 0.010 eV/f.u. Its total magnetization is 0.0 μB/f.u. Its density of states at the Fermi level is 0.00 states/eV per cell. The value obtained for the volume is 16.93 A^3/atom. The total energy is -9.4 eV per formula unit. For the uncorrected formation energy, the calculation gives -1.587 eV/f.u.

a b c (Å): 3.6187 3.6187 5.9703
angles (deg): 90.00 90.00 120.00
Sites, in units of the cell vectors:
1 Be 0.3333 0.6667 0.0000
2 Be 0.6667 0.3333 0.5000
3 Se 0.3333 0.6667 0.6262
4 Se 0.6667 0.3333 0.1262



3.
Computed, not measured: a relaxed structure of BeSe at the GGA-PBEsol level of DFT.

Summary:
The value obtained for the relative energy among the computed polymorphs is 0.178 eV/f.u. Its total magnetization is 0.0 μB/f.u. Its density of states at the Fermi level is 0.00 states/eV per cell. The value obtained for the volume is 18.62 A^3/atom. The total energy is -9.3 eV per formula unit. For the uncorrected formation energy, the calculation gives -1.420 eV/f.u.

a b c (Å): 3.6247 3.6247 6.5449
angles (deg): 90.00 90.00 120.00
Sites, in units of the cell vectors:
1 Be 0.3333 0.6667 0.1177
2 Be 0.6667 0.3333 0.8823
3 Se 0.3333 0.6667 0.7665
4 Se 0.6667 0.3333 0.2335